Crystalline HgAuBr at its relaxed geometry. Source: the Alexandria database, functional PBE.

Cell and atoms, written as CIF:
```
data_HgAuBr
_chemical_formula_sum 'Hg4 Au4 Br4'
_cell_length_a 3.8736
_cell_length_b 7.0624
_cell_length_c 12.4048
_cell_angle_alpha 90.00
_cell_angle_beta 90.00
_cell_angle_gamma 90.00
_space_group_name_H-M_alt 'F m m 2'
_space_group_IT_number 42
_space_group_name_Hall 'F 2 -2'
loop_
_atom_site_label
_atom_site_type_symbol
_atom_site_fract_x
_atom_site_fract_y
_atom_site_fract_z
Hg1 Hg 0.0000 0.0000 0.0000
Au1 Au 0.0000 0.0000 0.6562
Br1 Br 0.0000 0.0000 0.3142
```

Summary:
**Formation energy (no corrections)**: 54.8 meV/atom
**Distance to the lowest polymorph of the same formula**: 199 meV/atom
**Fermi-level density of states**: 0.29 states/eV per atom

Crystalline Hg2AuBr at its relaxed geometry. Source: the Alexandria database, functional PBE.

Cell and atoms, written as CIF:
```
data_Hg2AuBr
_chemical_formula_sum 'Hg4 Au2 Br2'
_cell_length_a 5.4692
_cell_length_b 9.4666
_cell_length_c 4.1468
_cell_angle_alpha 90.00
_cell_angle_beta 90.00
_cell_angle_gamma 90.00
_space_group_name_H-M_alt 'C m m m'
_space_group_IT_number 65
_space_group_name_Hall '-C 2 2'
loop_
_atom_site_label
_atom_site_type_symbol
_atom_site_fract_x
_atom_site_fract_y
_atom_site_fract_z
Hg1 Hg 0.2500 0.2500 0.0000
Au1 Au 0.0000 0.0000 0.5000
Br1 Br 0.0000 0.5000 0.5000
```

Summary:
**Formation energy (no corrections)**: 82.3 meV/atom
**Distance to the lowest polymorph of the same formula**: 153 meV/atom
**Fermi-level density of states**: 0.21 states/eV per atom

Crystalline HgAuBr at its relaxed geometry. Source: the Alexandria database, functional PBE.

Cell and atoms, written as CIF:
```
data_HgAuBr
_chemical_formula_sum 'Hg4 Au4 Br4'
_cell_length_a 5.8759
_cell_length_b 11.1346
_cell_length_c 4.8601
_cell_angle_alpha 90.00
_cell_angle_beta 90.00
_cell_angle_gamma 90.00
_space_group_name_H-M_alt 'P c a 21'
_space_group_IT_number 29
loop_
_space_group_symop_operation_xyz
'x,y,z'
'-x,-y,z+1/2'
'-x+1/2,y,z+1/2'
'x+1/2,-y,z'
loop_
_atom_site_label
_atom_site_type_symbol
_atom_site_fract_x
_atom_site_fract_y
_atom_site_fract_z
Hg1 Hg 0.0140 0.2188 0.0000
Au1 Au 0.1261 0.0136 0.6887
Br1 Br 0.0046 0.6473 0.9772
```

Summary:
**Formation energy (no corrections)**: -144.3 meV/atom
**Distance to the lowest polymorph of the same formula**: 0 meV/atom

Crystalline Hg2AuBr at its relaxed geometry. Source: the Alexandria database, functional PBE.

Cell and atoms, written as CIF:
```
data_Hg2AuBr
_chemical_formula_sum 'Hg2 Au1 Br1'
_cell_length_a 5.3985
_cell_length_b 5.3985
_cell_length_c 3.2721
_cell_angle_alpha 90.00
_cell_angle_beta 90.00
_cell_angle_gamma 90.00
_space_group_name_H-M_alt 'P 4/m m m'
_space_group_IT_number 123
_space_group_name_Hall '-P 4 2'
loop_
_atom_site_label
_atom_site_type_symbol
_atom_site_fract_x
_atom_site_fract_y
_atom_site_fract_z
Hg1 Hg 0.0000 0.5000 0.0000
Au1 Au 0.0000 0.0000 0.5000
Br1 Br 0.5000 0.5000 0.5000
```

Summary:
**Formation energy (no corrections)**: 160.8 meV/atom
**Distance to the lowest polymorph of the same formula**: 232 meV/atom
**Fermi-level density of states**: 0.71 states/eV per atom